1:
The following is a PBE-GGA calculation of an optimized crystal structure of Ti2H2Os, from the Alexandria database.

The structure in POSCAR format:
```
Ti2H2Os
1.0
-1.5121 1.5121 5.6113
1.5121 -1.5121 5.6113
1.5121 1.5121 -5.6113
Ti H Os
2 2 1
direct
0.1422 0.1422 0.0000 Ti
0.8578 0.8578 0.0000 Ti
0.2500 0.7500 0.5000 H
0.7500 0.2500 0.5000 H
0.5000 0.5000 0.0000 Os
```

Computed properties:
**Space group**: I4/mmm, No. 139
**Density of states at the Fermi level**: 1.6 states/eV/cell
**Volume**: 51 Å³ per cell

=====

2:
The following is a PBE-GGA calculation of an optimized crystal structure of Ti2H2Os, from the Alexandria database.

The structure in POSCAR format:
```
Ti2H2Os
1.0
2.9905 0.0000 0.0000
0.0000 2.9905 0.0000
0.0000 0.0000 6.0023
Ti H Os
2 2 1
direct
0.0000 0.0000 0.2349 Ti
0.0000 0.0000 0.7651 Ti
0.0000 0.5000 0.0000 H
0.5000 0.0000 0.0000 H
0.5000 0.5000 0.5000 Os
```

Computed properties:
**Space group**: P4/mmm, No. 123
**Density of states at the Fermi level**: 1.2 states/eV/cell
**Volume**: 54 Å³ per cell

=====

Relative energies with respect to the most stable structure, expressed in kJ/mol of atoms: 1 0.0; 2 15.1.

=====

1:
The following is a PBE-GGA calculation of an optimized crystal structure of TlH2Os, from the Alexandria database.

The structure in POSCAR format:
```
TlH2Os
1.0
0.0000 2.8173 2.8173
2.8173 0.0000 2.8173
2.8173 2.8173 0.0000
Tl H Os
1 2 1
direct
0.0000 0.0000 0.0000 Tl
0.2500 0.2500 0.2500 H
0.7500 0.7500 0.7500 H
0.5000 0.5000 0.5000 Os
```

Computed properties:
**Space group**: Fm-3m, No. 225
**Density of states at the Fermi level**: 1.8 states/eV/cell
**Volume**: 45 Å³ per cell

=====

2:
The following is a PBE-GGA calculation of an optimized crystal structure of TlH2Os, from the Alexandria database.

The structure in POSCAR format:
```
TlH2Os
1.0
-2.9368 2.9368 2.7735
2.9368 -2.9368 2.7735
2.9368 2.9368 -2.7735
Tl H Os
2 4 2
direct
0.0000 0.0000 0.0000 Tl
0.7500 0.2500 0.5000 Tl
0.2520 0.6250 0.1270 H
0.3750 0.5020 0.6270 H
0.4980 0.1250 0.8730 H
0.8750 0.7480 0.3730 H
0.2500 0.7500 0.5000 Os
0.5000 0.5000 0.0000 Os
```

Computed properties:
**Space group**: I-42d, No. 122
**Density of states at the Fermi level**: 7.6 states/eV/cell
**Volume**: 96 Å³ per cell

=====

Relative energies with respect to the most stable structure, expressed in kJ/mol of atoms: 1 81.4; 2 0.0.

=====

1:
The following is a PBE-GGA calculation of an optimized crystal structure of TlHOs3, from the Alexandria database.

The structure in POSCAR format:
```
TlHOs3
1.0
5.0720 0.0000 0.0000
0.0000 5.0720 0.0000
0.0000 0.0000 5.0720
Tl H Os
1 1 3
direct
0.0000 0.0000 0.0000 Tl
0.5000 0.5000 0.5000 H
0.0000 0.0000 0.5000 Os
0.0000 0.5000 0.0000 Os
0.5000 0.0000 0.0000 Os
```

Computed properties:
**Space group**: Pm-3m, No. 221
**Density of states at the Fermi level**: 6.7 states/eV/cell
**Volume**: 130 Å³ per cell

=====

2:
The following is a PBE-GGA calculation of an optimized crystal structure of TlHOs3, from the Alexandria database.

The structure in POSCAR format:
```
TlHOs3
1.0
4.0600 0.0000 0.0000
0.0000 4.0600 0.0000
0.0000 0.0000 4.0600
Tl H Os
1 1 3
direct
0.0000 0.0000 0.0000 Tl
0.5000 0.5000 0.5000 H
0.0000 0.5000 0.5000 Os
0.5000 0.0000 0.5000 Os
0.5000 0.5000 0.0000 Os
```

Computed properties:
**Space group**: Pm-3m, No. 221
**Density of states at the Fermi level**: 7.6 states/eV/cell
**Volume**: 67 Å³ per cell

=====

Relative energies with respect to the most stable structure, expressed in kJ/mol of atoms: 1 278.8; 2 0.0.

=====

1:
The following is a PBE-GGA calculation of an optimized crystal structure of TlHOs2, from the Alexandria database.

The structure in POSCAR format:
```
TlHOs2
1.0
0.0000 3.0896 3.0896
3.0896 0.0000 3.0896
3.0896 3.0896 0.0000
Tl H Os
1 1 2
direct
0.0000 0.0000 0.0000 Tl
0.5000 0.5000 0.5000 H
0.2500 0.2500 0.2500 Os
0.7500 0.7500 0.7500 Os
```

Computed properties:
**Space group**: Fm-3m, No. 225
**Density of states at the Fermi level**: 6.1 states/eV/cell
**Volume**: 59 Å³ per cell

=====

2:
The following is a PBE-GGA calculation of an optimized crystal structure of TlHOs2, from the Alexandria database.

The structure in POSCAR format:
```
TlHOs2
1.0
-2.7728 2.7728 3.7731
2.7728 -2.7728 3.7731
2.7728 2.7728 -3.7731
Tl H Os
2 2 4
direct
0.0000 0.0000 0.0000 Tl
0.7500 0.2500 0.5000 Tl
0.2500 0.7500 0.5000 H
0.5000 0.5000 0.0000 H
0.2889 0.6250 0.1639 Os
0.3750 0.5389 0.6639 Os
0.4611 0.1250 0.8361 Os
0.8750 0.7111 0.3361 Os
```

Computed properties:
**Space group**: I-42d, No. 122
**Density of states at the Fermi level**: 4.2 states/eV/cell
**Volume**: 116 Å³ per cell

=====

Relative energies with respect to the most stable structure, expressed in kJ/mol of atoms: 1 75.8; 2 0.0.